A plane-wave DFT calculation with GGA-PBEsol was carried out for a relaxed NaP2OsCl crystal.

Cell and atoms, written as POSCAR:
```
NaP2OsCl
1.0
-0.0898 -4.4225 0.5303
2.4297 -0.4931 -3.7015
4.6663 0.2682 3.0273
Cl P Na Os
1 2 1 1
direct
0.0000 0.0000 0.5000
0.0000 0.5000 0.0000
0.5000 0.0000 0.0000
0.5000 0.5000 0.5000
0.0000 0.0000 0.0000
```

Properties
V, Å³/cell: 110.5
Size of the total moment, μB per atom: 0.00
Electronic total energy, eV per atom: -5.433
E_form (uncorrected), kJ/mol of formula units: 4
Relative energy among the computed polymorphs, eV/atom: 0.000
Space group: P4/mmm